A) Entry from Alexandria via LeMat-Bulk: an optimized crystal structure of RbYRu2 (PBE-GGA).

Cell and atoms, written as POSCAR:
```
RbYRu2
1.0
-2.404 2.404 9.703
2.404 -2.404 9.703
2.404 2.404 -9.703
Rb Y Ru
2 2 4
Cartesian
0.000 0.000 0.000
0.000 2.404 4.851
2.404 0.000 4.851
0.000 0.000 9.703
1.202 -0.439 7.277
1.966 1.202 2.426
1.202 2.843 -2.426
0.439 1.202 12.128
```

B) Entry from Alexandria via LeMat-Bulk: an optimized crystal structure of RbYRu2 (PBE-GGA).

Cell and atoms, written as POSCAR:
```
RbYRu2
1.0
0.000 3.509 3.509
3.509 0.000 3.509
3.509 3.509 0.000
Rb Y Ru
1 1 2
Cartesian
0.000 0.000 0.000
3.509 3.509 3.509
1.754 1.754 1.754
5.263 5.263 5.263
```

Which of them is the most stable, and which is the least stable? A) and B), in that order.

A) Entry from Alexandria via LeMat-Bulk: an optimized crystal structure of RbYRu3 (PBE-GGA).

Cell and atoms, written as POSCAR:
```
RbYRu3
1.0
4.766 0.000 0.000
0.000 4.766 0.000
0.000 0.000 4.766
Rb Y Ru
1 1 3
Cartesian
0.000 0.000 0.000
2.383 2.383 2.383
0.000 0.000 2.383
0.000 2.383 0.000
2.383 0.000 0.000
```

B) Entry from Alexandria via LeMat-Bulk: an optimized crystal structure of RbYRu3 (PBE-GGA).

Cell and atoms, written as POSCAR:
```
RbYRu3
1.0
5.146 0.000 0.000
0.000 5.146 0.000
0.000 0.000 5.146
Rb Y Ru
1 1 3
Cartesian
0.000 0.000 0.000
2.573 2.573 2.573
0.000 2.573 2.573
2.573 0.000 2.573
2.573 2.573 0.000
```

Which of them is the most stable, and which is the least stable? B) and A), in that order.

A) Entry from Alexandria via LeMat-Bulk: an optimized crystal structure of RbZnRu3 (PBE-GGA).

Cell and atoms, written as POSCAR:
```
RbZnRu3
1.0
4.763 0.000 0.000
0.000 4.763 0.000
0.000 0.000 4.763
Rb Zn Ru
1 1 3
Cartesian
0.000 0.000 0.000
2.381 2.381 2.381
0.000 0.000 2.381
0.000 2.381 0.000
2.381 0.000 0.000
```

B) Entry from Alexandria via LeMat-Bulk: an optimized crystal structure of RbZnRu3 (PBE-GGA).

Cell and atoms, written as POSCAR:
```
RbZnRu3
1.0
4.818 0.000 0.000
0.000 4.818 0.000
0.000 0.000 4.818
Rb Zn Ru
1 1 3
Cartesian
0.000 0.000 0.000
2.409 2.409 2.409
0.000 2.409 2.409
2.409 0.000 2.409
2.409 2.409 0.000
```

Which of them is the most stable, and which is the least stable? B) and A), in that order.